(1)
Computed, not measured: a geometry-optimized Ba3NpSe6 structure at the GGA-PBE level of DFT.

Output
For the volume, the calculation gives 2271 Å³ per cell. Its total energy is -329.13 eV/cell.

a = 13.0737 Å, b = 13.0737 Å, c = 15.3432 Å
α = 90.00°, β = 90.00°, γ = 120.00°
Space group R-3 (No. 148, hexagonal axes)
Inequivalent atoms, fractional coordinates:
Ba: 0.0495 0.7765 0.1987 x18
Np: 0.0000 0.0000 0.0000 x3
Np: 0.0000 0.0000 0.5000 x3
Se: 0.0227 0.8398 0.4018 x18
Se: 0.0322 0.8490 0.8997 x18

(2)
Computed, not measured: a geometry-optimized CeHfB2O8 structure at the GGA-PBE level of DFT.

Output
For the volume, the calculation gives 231 Å³ per cell. Its total energy is -197.12 eV/cell.

a = 4.602 Å, b = 4.602 Å, c = 10.927 Å
α = 90.00°, β = 90.00°, γ = 90.00°
Space group I-4 (No. 82)
Inequivalent atoms, fractional coordinates:
Ce: 0.000 0.000 0.000 x2
Hf: 0.000 0.500 0.750 x2
B: 0.000 0.000 0.500 x2
B: 0.000 0.500 0.250 x2
O: 0.110 0.246 0.576 x8
O: 0.138 0.747 0.184 x8

The highest volume belongs to which entry?
Ba3NpSe6

What did the first record say?
Computed, not measured: a geometry-optimized Ba3NpSe6 structure at the GGA-PBE level of DFT.

Output
For the volume, the calculation gives 2271 Å³ per cell. Its total energy is -329.13 eV/cell.

a = 13.0737 Å, b = 13.0737 Å, c = 15.3432 Å
α = 90.00°, β = 90.00°, γ = 120.00°
Space group R-3 (No. 148, hexagonal axes)
Inequivalent atoms, fractional coordinates:
Ba: 0.0495 0.7765 0.1987 x18
Np: 0.0000 0.0000 0.0000 x3
Np: 0.0000 0.0000 0.5000 x3
Se: 0.0227 0.8398 0.4018 x18
Se: 0.0322 0.8490 0.8997 x18

volume of number 1 (Ba3NpSe6)?
2271 Å³ per cell

Copy entry 2 word for word.
Computed, not measured: a geometry-optimized CeHfB2O8 structure at the GGA-PBE level of DFT.

Output
For the volume, the calculation gives 231 Å³ per cell. Its total energy is -197.12 eV/cell.

a = 4.602 Å, b = 4.602 Å, c = 10.927 Å
α = 90.00°, β = 90.00°, γ = 90.00°
Space group I-4 (No. 82)
Inequivalent atoms, fractional coordinates:
Ce: 0.000 0.000 0.000 x2
Hf: 0.000 0.500 0.750 x2
B: 0.000 0.000 0.500 x2
B: 0.000 0.500 0.250 x2
O: 0.110 0.246 0.576 x8
O: 0.138 0.747 0.184 x8